Here is an optimized crystal structure of Ac2PrMg from Alexandria via LeMat-Bulk. Energies are from GGA-PBE.

Computed properties:
Formation enthalpy at 0 K   21 meV/atom

The structure in CIF format:
```
data_Ac2PrMg
_chemical_formula_sum 'Ac2 Pr1 Mg1'
_symmetry_space_group_name_H-M 'P 4/m m m'
_symmetry_Int_Tables_number 123
_symmetry_space_group_name_Hall '-P 4 2'
_cell_length_a 5.449
_cell_length_b 5.449
_cell_length_c 5.027
_cell_angle_alpha 90.00
_cell_angle_beta 90.00
_cell_angle_gamma 90.00
loop_
_atom_site_label
_atom_site_fract_x
_atom_site_fract_y
_atom_site_fract_z
Ac1 0.000 0.500 0.000
Pr1 0.000 0.000 0.500
Mg1 0.500 0.500 0.500
```

---

Here is an optimized crystal structure of Zr4Ni3Pt from Alexandria via LeMat-Bulk. Energies are from GGA-PBE.

Computed properties:
Formation enthalpy at 0 K   -602 meV/atom

The structure in CIF format:
```
data_Zr4Ni3Pt
_chemical_formula_sum 'Zr4 Ni3 Pt1'
_symmetry_space_group_name_H-M 'P m m 2'
_symmetry_Int_Tables_number 25
_cell_length_a 3.370
_cell_length_b 4.160
_cell_length_c 10.065
_cell_angle_alpha 90.00
_cell_angle_beta 90.00
_cell_angle_gamma 90.00
loop_
_symmetry_equiv_pos_as_xyz
'x,y,z'
'-x,-y,z'
'-x,y,z'
'x,-y,z'
loop_
_atom_site_label
_atom_site_fract_x
_atom_site_fract_y
_atom_site_fract_z
Zr1 0.000 0.000 0.000
Zr2 0.000 0.500 0.271
Zr3 0.500 0.000 0.485
Zr4 0.500 0.500 0.777
Ni1 0.000 0.500 0.539
Ni2 0.500 0.000 0.214
Ni3 0.500 0.500 0.052
Pt1 0.000 0.000 0.716
```

---

Here is an optimized crystal structure of B2Te2F from Alexandria via LeMat-Bulk. Energies are from GGA-PBE.

Computed properties:
Formation energy without anion corrections   1.1 eV/f.u.

The structure in CIF format:
```
data_B2Te2F
_chemical_formula_sum 'B4 Te4 F2'
_symmetry_space_group_name_H-M 'I 4/m m m'
_symmetry_Int_Tables_number 139
_symmetry_space_group_name_Hall '-I 4 2'
_cell_length_a 3.754
_cell_length_b 3.754
_cell_length_c 12.654
_cell_angle_alpha 90.00
_cell_angle_beta 90.00
_cell_angle_gamma 90.00
loop_
_atom_site_label
_atom_site_fract_x
_atom_site_fract_y
_atom_site_fract_z
B1 0.000 0.500 0.250
Te1 0.000 0.000 0.138
F1 0.000 0.000 0.500
```

---

Here is an optimized crystal structure of BPt2Rh from Alexandria via LeMat-Bulk. Energies are from GGA-PBE.

Computed properties:
Formation enthalpy at 0 K   -181 meV/atom

The structure in CIF format:
```
data_BPt2Rh
_chemical_formula_sum 'B1 Pt2 Rh1'
_symmetry_space_group_name_H-M 'P 1'
_symmetry_Int_Tables_number 1
_cell_length_a 2.819
_cell_length_b 4.822
_cell_length_c 4.823
_cell_angle_alpha 119.90
_cell_angle_beta 106.92
_cell_angle_gamma 90.07
loop_
_symmetry_equiv_pos_as_xyz
'x,y,z'
loop_
_atom_site_label
_atom_site_fract_x
_atom_site_fract_y
_atom_site_fract_z
B1 0.000 0.000 0.000
Pt1 0.317 0.653 0.628
Pt2 0.496 0.343 0.992
Rh1 0.675 0.019 0.356
```

---

Here is an optimized crystal structure of Te4Pd2Pt from Alexandria via LeMat-Bulk. Energies are from GGA-PBE.

Computed properties:
Formation energy without anion corrections   -2.2 eV/f.u.

The structure in CIF format:
```
data_Te4Pd2Pt
_chemical_formula_sum 'Te8 Pd4 Pt2'
_symmetry_space_group_name_H-M 'C 1 2/m 1'
_symmetry_Int_Tables_number 12
_cell_length_a 13.123
_cell_length_b 4.236
_cell_length_c 7.023
_cell_angle_alpha 90.00
_cell_angle_beta 121.16
_cell_angle_gamma 90.00
loop_
_symmetry_equiv_pos_as_xyz
'x,y,z'
'-x,-y,-z'
'-x,y,-z'
'x,-y,z'
'x+1/2,y+1/2,z'
'-x+1/2,-y+1/2,-z'
'-x+1/2,y+1/2,-z'
'x+1/2,-y+1/2,z'
loop_
_atom_site_label
_atom_site_fract_x
_atom_site_fract_y
_atom_site_fract_z
Te1 0.112 0.000 0.458
Te2 0.136 0.500 0.984
Pd1 0.235 0.500 0.716
Pt1 0.000 0.000 0.000
```

---

Here is an optimized crystal structure of TlNi2Br from Alexandria via LeMat-Bulk. Energies are from GGA-PBE.

Computed properties:
Formation energy without anion corrections   1.7 eV/f.u.

The structure in CIF format:
```
data_TlNi2Br
_chemical_formula_sum 'Tl1 Ni2 Br1'
_symmetry_space_group_name_H-M 'P 4/m m m'
_symmetry_Int_Tables_number 123
_symmetry_space_group_name_Hall '-P 4 2'
_cell_length_a 3.364
_cell_length_b 3.364
_cell_length_c 6.339
_cell_angle_alpha 90.00
_cell_angle_beta 90.00
_cell_angle_gamma 90.00
loop_
_atom_site_label
_atom_site_fract_x
_atom_site_fract_y
_atom_site_fract_z
Tl1 0.000 0.000 0.000
Ni1 0.500 0.500 0.208
Br1 0.000 0.000 0.500
```

---

Number 1: electronic total energy -14.51 eV for the cell shown, size of the total moment 0.00 Bohr magnetons per cell. Number 2: electronic total energy -62.40 eV for the cell shown, size of the total moment 0.00 Bohr magnetons per cell. Number 3: electronic total energy -40.88 eV for the cell shown, size of the total moment 0.00 Bohr magnetons per cell. Number 4: electronic total energy -26.83 eV for the cell shown, size of the total moment 0.00 Bohr magnetons per cell. Number 5: electronic total energy -62.43 eV for the cell shown, size of the total moment 0.00 Bohr magnetons per cell. Number 6: electronic total energy -13.86 eV for the cell shown, size of the total moment 0.00 Bohr magnetons per cell.